Record 1
A plane-wave DFT calculation with PBEsol was carried out for a relaxed structure of ScAs2Ir.

Its symmetry is Cm (8). The calculation puts the polymorph energy (0 for the lowest one) at 0 meV per atom. For the total energy, the calculation gives -28.9 eV per cell. The calculation puts the calculated formation energy at -558 meV/atom. As for the crystal system: monoclinic.

Cell lengths 3.180, 4.642, 4.871 Å; angles 104.46, 109.05, 90.00 degrees
Fractional positions:
1 As 0.001 0.073 0.003
2 As 0.243 0.697 0.486
3 Ir 0.515 0.544 0.029
4 Sc 0.741 0.186 0.482

Record 2
A plane-wave DFT calculation with PBEsol was carried out for a relaxed structure of UFeSi2.

Its symmetry is Cmcm (63). The energy relative to the elements, uncorrected comes out at -0.4771 eV per atom. For the total energy, the calculation gives -69.0 eV per cell. As for the crystal system: orthorhombic.

Cell lengths 3.754, 3.872, 8.492 Å; angles 90.00, 102.77, 90.00 degrees
Fractional positions:
1 Si 0.037 0.250 0.074
2 Si 0.963 0.750 0.926
3 Si 0.751 0.250 0.502
4 Si 0.249 0.750 0.498
5 U 0.390 0.250 0.781
6 U 0.610 0.750 0.219
7 Fe 0.170 0.250 0.340
8 Fe 0.830 0.750 0.660

Record 3
A plane-wave DFT calculation with PBEsol was carried out for a relaxed structure of TlSi3Os.

Its symmetry is Pm-3m (221). The energy relative to the elements, uncorrected comes out at 2.4492 eV per atom. For the total energy, the calculation gives -19.8 eV per cell. As for the crystal system: cubic.

Cell lengths 4.884, 4.884, 4.884 Å; angles 90.00, 90.00, 90.00 degrees
Fractional positions:
1 Tl 0.000 0.000 0.000
2 Os 0.500 0.500 0.500
3 Si 0.000 0.500 0.000
4 Si 0.000 0.000 0.500
5 Si 0.500 0.000 0.000

Record 4
A plane-wave DFT calculation with PBEsol was carried out for a relaxed structure of Ta5Ga3.

Its symmetry is P6_3/mcm (193). The calculation puts the polymorph energy (0 for the lowest one) at 92 meV per atom. For the total energy, the calculation gives -148.9 eV per cell. The calculation puts the calculated formation energy at -207 meV/atom. As for the crystal system: hexagonal.

Cell lengths 5.218, 7.647, 7.647 Å; angles 120.00, 90.00, 90.00 degrees
Fractional positions:
1 Ta 0.500 0.333 0.667
2 Ta 0.000 0.667 0.333
3 Ta 0.500 0.667 0.333
4 Ta 0.000 0.333 0.667
5 Ta 0.250 0.000 0.753
6 Ta 0.750 0.753 0.753
7 Ta 0.750 0.247 0.000
8 Ta 0.250 0.753 0.000
9 Ta 0.250 0.247 0.247
10 Ta 0.750 0.000 0.247
11 Ga 0.250 0.000 0.394
12 Ga 0.750 0.394 0.394
13 Ga 0.750 0.606 0.000
14 Ga 0.250 0.394 0.000
15 Ga 0.250 0.606 0.606
16 Ga 0.750 0.000 0.606

Record 5
A plane-wave DFT calculation with PBEsol was carried out for a relaxed structure of CsCa2Hg2.

Its symmetry is I4/mmm (139). For the total energy, the calculation gives -7.2 eV per cell. The calculation puts the calculated formation energy at -167 meV/atom. As for the crystal system: tetragonal.

Cell lengths 5.781, 5.781, 7.239 Å; angles 113.53, 113.53, 90.00 degrees
Fractional positions:
1 Cs 0.000 0.000 0.000
2 Ca 0.338 0.338 0.675
3 Ca 0.662 0.662 0.325
4 Hg 0.250 0.750 0.500
5 Hg 0.750 0.250 0.500

Record 6
A plane-wave DFT calculation with PBEsol was carried out for a relaxed structure of Zr2InCl.

Its symmetry is Pmmm (47). The calculation puts the polymorph energy (0 for the lowest one) at 346 meV per atom. The energy relative to the elements, uncorrected comes out at -0.2187 eV per atom. For the total energy, the calculation gives -24.0 eV per cell. As for the crystal system: orthorhombic.

Cell lengths 3.220, 4.832, 5.484 Å; angles 90.00, 90.00, 90.00 degrees
Fractional positions:
1 Cl 0.500 0.500 0.000
2 Zr 0.000 0.000 0.000
3 Zr 0.500 0.000 0.500
4 In 0.000 0.500 0.500

Record 7
A plane-wave DFT calculation with PBEsol was carried out for a relaxed structure of Mn5Ru.

Its symmetry is P-62m (189). The calculation puts the polymorph energy (0 for the lowest one) at 0 meV per atom. For the total energy, the calculation gives -58.7 eV per cell. The calculation puts the calculated formation energy at 49 meV/atom. As for the crystal system: hexagonal.

Cell lengths 3.995, 4.336, 4.336 Å; angles 120.00, 90.00, 90.00 degrees
Fractional positions:
1 Mn 0.000 0.344 0.344
2 Mn 0.000 0.656 0.000
3 Mn 0.000 0.000 0.656
4 Mn 0.500 0.333 0.667
5 Mn 0.500 0.667 0.333
6 Ru 0.500 0.000 0.000

Record 8
A plane-wave DFT calculation with PBEsol was carried out for a relaxed structure of SbAsPt2.

Its symmetry is P3m1 (156). The calculation puts the polymorph energy (0 for the lowest one) at 0 meV per atom. The energy relative to the elements, uncorrected comes out at -0.3112 eV per atom. For the total energy, the calculation gives -24.8 eV per cell. As for the crystal system: trigonal.

Cell lengths 3.953, 3.954, 6.239 Å; angles 89.97, 90.00, 119.99 degrees
Fractional positions:
1 Sb 0.375 0.750 0.421
2 As 0.375 0.750 0.857
3 Pt 0.042 0.083 0.989
4 Pt 0.708 0.417 0.234

Record 9
A plane-wave DFT calculation with PBEsol was carried out for a relaxed structure of V5O12.

Its symmetry is C2 (5). The calculation puts the polymorph energy (0 for the lowest one) at 84 meV per atom. The energy relative to the elements, uncorrected comes out at -2.2099 eV per atom. For the total energy, the calculation gives -148.7 eV per cell. As for the crystal system: monoclinic.

Cell lengths 4.868, 4.868, 8.933 Å; angles 92.69, 92.69, 113.08 degrees
Fractional positions:
1 V 0.049 0.951 0.500
2 V 0.479 0.950 0.783
3 V 0.050 0.521 0.217
4 V 0.428 0.572 0.500
5 V 0.611 0.389 0.000
6 O 0.278 0.078 0.904
7 O 0.922 0.722 0.096
8 O 0.280 0.807 0.367
9 O 0.193 0.720 0.633
10 O 0.535 0.691 0.876
11 O 0.309 0.465 0.124
12 O 0.738 0.613 0.395
13 O 0.387 0.262 0.605
14 O 0.797 0.299 0.855
15 O 0.701 0.203 0.145
16 O 0.083 0.263 0.390
17 O 0.737 0.917 0.610

Record 10
A plane-wave DFT calculation with PBEsol was carried out for a relaxed structure of Nd5Ga3.

Its symmetry is I4/mcm (140). For the total energy, the calculation gives -79.0 eV per cell. The calculation puts the calculated formation energy at -458 meV/atom. As for the crystal system: tetragonal.

Cell lengths 7.719, 7.719, 9.006 Å; angles 115.38, 115.38, 90.00 degrees
Fractional positions:
1 Nd 0.500 0.500 0.000
2 Nd 0.000 0.000 0.000
3 Nd 0.476 0.976 0.301
4 Nd 0.825 0.325 0.301
5 Nd 0.976 0.825 0.301
6 Nd 0.325 0.476 0.301
7 Nd 0.524 0.024 0.699
8 Nd 0.175 0.675 0.699
9 Nd 0.024 0.175 0.699
10 Nd 0.675 0.524 0.699
11 Ga 0.750 0.750 0.500
12 Ga 0.250 0.250 0.500
13 Ga 0.117 0.617 0.000
14 Ga 0.883 0.383 0.000
15 Ga 0.617 0.883 0.000
16 Ga 0.383 0.117 0.000

Record 11
A plane-wave DFT calculation with PBEsol was carried out for a relaxed structure of PbAu2C.

Its symmetry is Fm-3m (225). For the total energy, the calculation gives -15.7 eV per cell. The calculation puts the calculated formation energy at 1455 meV/atom. As for the crystal system: cubic.

Cell lengths 4.633, 4.633, 4.633 Å; angles 60.00, 60.00, 60.00 degrees
Fractional positions:
1 Pb 0.500 0.500 0.500
2 C 0.000 0.000 0.000
3 Au 0.250 0.250 0.250
4 Au 0.750 0.750 0.750

Record 12
A plane-wave DFT calculation with PBEsol was carried out for a relaxed structure of Li2ZnRe.

Its symmetry is C2/m (12). For the total energy, the calculation gives -18.1 eV per cell. The calculation puts the calculated formation energy at 185 meV/atom. As for the crystal system: monoclinic.

Cell lengths 2.475, 4.801, 5.324 Å; angles 115.85, 101.75, 93.65 degrees
Fractional positions:
1 Li 0.000 0.000 0.500
2 Li 0.500 0.500 0.500
3 Re 0.500 0.000 0.000
4 Zn 0.000 0.500 0.000